Here is a relaxed TbNd2Tc crystal from the Alexandria database. Energies are from PBE.

POSCAR file:
```
TbNd2Tc
1.0
4.9283 0.0000 0.0000
-2.4641 4.2680 0.0000
0.0000 0.0000 15.2708
Tb Nd Tc
3 6 3
Direct
0.0000 0.0000 0.0000 Tb
0.3333 0.6667 0.6667 Tb
0.6667 0.3333 0.3333 Tb
0.0000 0.0000 0.2324 Nd
0.0000 0.0000 0.7676 Nd
0.3333 0.6667 0.4343 Nd
0.3333 0.6667 0.8990 Nd
0.6667 0.3333 0.1010 Nd
0.6667 0.3333 0.5657 Nd
0.0000 0.0000 0.5000 Tc
0.3333 0.6667 0.1667 Tc
0.6667 0.3333 0.8333 Tc
```

Calculated values
Distance to the lowest polymorph of the same formula ... 27.5 kJ per mole of atoms
ΔH_f (0 K) ... 0.281 eV per atom
Energy ... -70.2 eV/cell
M_tot ... 0.000 μB/cell